1.
A relaxed structure of SrGaTe2N. Source: Alexandria, functional PBE.

Output
Raw formation energy in eV/atom: -0.1177
DFT total energy in eV per formula unit: -19.91
Offset from the most stable computed form in meV per atom: 0.0
Crystal system: tetragonal
ρ in Mg/m³: 5.479

```
5
Lattice="5.969 0.000 0.000 0.000 5.969 0.000 0.000 0.000 3.629" Properties=species:S:1:pos:R:3 pbc="T T T"
Sr 2.984 2.984 1.814
N 0.000 0.000 1.814
Te 0.000 2.984 0.000
Te 2.984 0.000 0.000
Ga 0.000 0.000 0.000
```



2.
A relaxed structure of Rb3NiHg2Cl9. Source: Alexandria, functional PBE.

Output
Raw formation energy in eV/atom: -1.1096
DFT total energy in eV per formula unit: -42.55
Crystal system: trigonal
ρ in Mg/m³: 4.094

```
15
Lattice="-0.813 -6.900 -2.375 -0.680 1.525 7.150 -8.806 1.431 -1.143" Properties=species:S:1:pos:R:3 pbc="T T T"
Rb -3.716 -3.613 0.417
Hg -2.322 -1.024 3.767
Cl -6.920 -3.838 2.167
Cl -4.173 -2.967 4.006
Cl -6.558 -4.649 -1.638
Rb 0.000 0.000 0.000
Cl -0.406 -3.450 -1.188
Ni -4.403 0.715 -0.571
Cl -6.126 -0.977 -0.374
Hg -7.976 -2.921 -0.136
Cl -3.741 0.705 5.270
Cl -0.746 -2.687 2.387
Cl -0.340 0.763 3.575
Cl -3.379 -0.106 1.465
Rb -6.583 -0.331 3.215
```



3.
A relaxed structure of LaHgI. Source: Alexandria, functional PBE.

Output
Raw formation energy in eV/atom: -0.8158
DFT total energy in eV per formula unit: -9.23
Offset from the most stable computed form in meV per atom: 77.4
Crystal system: monoclinic
ρ in Mg/m³: 8.081

```
6
Lattice="-3.981 1.247 -1.448 0.731 -2.124 -3.838 -3.572 -8.226 3.871" Properties=species:S:1:pos:R:3 pbc="T T T"
Hg -5.943 -8.900 -0.071
Hg -0.879 -0.203 -1.343
I -2.703 -6.355 -0.863
La -1.237 -3.338 -2.253
I -4.119 -2.748 -0.552
La -5.585 -5.765 0.838
```



4.
A relaxed structure of GaFeReH. Source: Alexandria, functional PBE.

Output
DFT total energy in eV per formula unit: -26.90
Offset from the most stable computed form in meV per atom: 54.1
Crystal system: trigonal
ρ in Mg/m³: 11.564

```
12
Lattice="-0.521 0.468 -2.684 -2.096 -0.429 1.766 -0.981 19.856 3.654" Properties=species:S:1:pos:R:3 pbc="T T T"
Re -0.753 15.237 2.804
Ga -2.544 19.547 3.903
H -0.555 11.221 2.065
H -1.928 18.009 2.082
Fe -0.196 3.965 0.730
Ga -0.318 6.439 1.185
Re -1.997 8.489 1.869
Fe -1.569 10.753 0.747
Re -1.145 2.169 -0.833
Ga -1.692 13.227 1.202
Fe -2.421 17.073 3.448
H -1.799 4.473 1.129
```